No. 1
Below is a relaxed Th4PaO10 crystal, with properties calculated at the PBE level.

Values from the calculation:
Its symmetry is I4/m, No. 87. The value obtained for the density of states at the Fermi level is 5.42 states/eV/f.u. For the volume, the calculation gives 14.6 A^3/atom. For the energy, the calculation gives -9.73 eV per atom.

Lattice parameters (Å, degrees): 6.8494 6.8494 6.8494 99.59 99.59 131.81
Sites, in units of the cell vectors:
Th 0.1000 0.7007 0.8006
Th 0.2993 0.1000 0.3993
Th 0.7007 0.9000 0.6007
Th 0.9000 0.2993 0.1994
Pa 0.5000 0.5000 0.0000
O 0.0564 0.3526 0.9018
O 0.1546 0.0564 0.7038
O 0.2500 0.7500 0.5000
O 0.3526 0.4508 0.2962
O 0.4508 0.1546 0.0982
O 0.5492 0.8454 0.9018
O 0.6474 0.5492 0.7038
O 0.7500 0.2500 0.5000
O 0.8454 0.9436 0.2962
O 0.9436 0.6474 0.0982

No. 2
Below is a relaxed Li2MgAg4 crystal, with properties calculated at the PBE level.

Values from the calculation:
Its symmetry is I4/mmm, No. 139. As for the formation energy: 0.325 eV per atom. The value obtained for the density of states at the Fermi level is 2.80 states/eV/f.u. Its offset from the most stable computed form is 42.5 kJ/mol of atoms. For the volume, the calculation gives 23.9 A^3/atom. For the energy, the calculation gives -2.08 eV per atom.

Lattice parameters (Å, degrees): 7.6771 7.6771 7.6771 142.40 142.40 54.22
Sites, in units of the cell vectors:
Li 0.1093 0.1093 0.0000
Li 0.8907 0.8907 0.0000
Mg 0.5000 0.5000 0.0000
Ag 0.0000 0.5000 0.5000
Ag 0.3061 0.3061 0.0000
Ag 0.5000 0.0000 0.5000
Ag 0.6939 0.6939 0.0000

No. 3
Below is a relaxed ScHgBi2 crystal, with properties calculated at the PBE level.

Values from the calculation:
Its symmetry is I-42d, No. 122. As for the formation energy: -0.053 eV per atom. The value obtained for the density of states at the Fermi level is 3.31 states/eV/f.u. For the volume, the calculation gives 29.1 A^3/atom. For the energy, the calculation gives -3.65 eV per atom.

Lattice parameters (Å, degrees): 6.8101 6.8101 6.8101 103.12 103.12 123.10
Sites, in units of the cell vectors:
Sc 0.0000 0.0000 0.0000
Sc 0.7500 0.2500 0.5000
Hg 0.2500 0.7500 0.5000
Hg 0.5000 0.5000 0.0000
Bi 0.1164 0.1250 0.4914
Bi 0.3750 0.8836 0.0086
Bi 0.6336 0.6250 0.5086
Bi 0.8750 0.3664 0.9914

No. 4
Below is a relaxed HgTeRu2 crystal, with properties calculated at the PBE level.

Values from the calculation:
Its symmetry is Imm2, No. 44. The value obtained for the density of states at the Fermi level is 4.02 states/eV/f.u. Its offset from the most stable computed form is 12.9 kJ/mol of atoms. For the volume, the calculation gives 19.0 A^3/atom. For the energy, the calculation gives -4.99 eV per atom.

Lattice parameters (Å, degrees): 6.3484 6.3484 6.3484 151.04 142.08 48.41
Sites, in units of the cell vectors:
Hg 0.0000 0.0000 0.0000
Te 0.7504 0.2504 0.5000
Ru 0.3233 0.8233 0.5000
Ru 0.5752 0.5752 0.0000

No. 5
Below is a relaxed NdHoMgGa crystal, with properties calculated at the PBE level.

Values from the calculation:
Its symmetry is F-43m, No. 216. As for the formation energy: -0.333 eV per atom. The value obtained for the density of states at the Fermi level is 2.35 states/eV/f.u. For the volume, the calculation gives 25.4 A^3/atom. For the energy, the calculation gives -3.83 eV per atom.

Lattice parameters (Å, degrees): 5.2376 5.2376 5.2376 60.00 60.00 60.00
Sites, in units of the cell vectors:
Nd 0.0000 0.0000 0.0000
Ho 0.5000 0.5000 0.5000
Mg 0.7500 0.7500 0.7500
Ga 0.2500 0.2500 0.2500

No. 6
Below is a relaxed LiCrRu3 crystal, with properties calculated at the PBE level.

Values from the calculation:
Its symmetry is Pm-3m, No. 221. As for the formation energy: 1.073 eV per atom. The value obtained for the density of states at the Fermi level is 4.16 states/eV/f.u. Its offset from the most stable computed form is 0.0 kJ/mol of atoms. For the volume, the calculation gives 13.1 A^3/atom. For the energy, the calculation gives -6.80 eV per atom.

Lattice parameters (Å, degrees): 4.0295 4.0295 4.0295 90.00 90.00 90.00
Sites, in units of the cell vectors:
Li 0.0000 0.0000 0.0000
Cr 0.5000 0.5000 0.5000
Ru 0.0000 0.0000 0.5000
Ru 0.0000 0.5000 0.0000
Ru 0.5000 0.0000 0.0000

No. 7
Below is a relaxed InTeP3 crystal, with properties calculated at the PBE level.

Values from the calculation:
Its symmetry is Pm-3m, No. 221. The value obtained for the density of states at the Fermi level is 3.66 states/eV/f.u. Its offset from the most stable computed form is 0.0 kJ/mol of atoms. For the volume, the calculation gives 26.6 A^3/atom. For the energy, the calculation gives -3.36 eV per atom.

Lattice parameters (Å, degrees): 5.1054 5.1054 5.1054 90.00 90.00 90.00
Sites, in units of the cell vectors:
In 0.0000 0.0000 0.0000
Te 0.5000 0.5000 0.5000
P 0.0000 0.5000 0.5000
P 0.5000 0.0000 0.5000
P 0.5000 0.5000 0.0000

No. 8
Below is a relaxed PrInHgPt crystal, with properties calculated at the PBE level.

Values from the calculation:
Its symmetry is F-43m, No. 216. As for the formation energy: -0.590 eV per atom. The value obtained for the density of states at the Fermi level is 1.88 states/eV/f.u. For the volume, the calculation gives 23.1 A^3/atom. For the energy, the calculation gives -4.05 eV per atom.

Lattice parameters (Å, degrees): 5.0757 5.0757 5.0757 60.00 60.00 60.00
Sites, in units of the cell vectors:
Pr 0.0000 0.0000 0.0000
In 0.5000 0.5000 0.5000
Hg 0.2500 0.2500 0.2500
Pt 0.7500 0.7500 0.7500

No. 9
Below is a relaxed YbMgCd2 crystal, with properties calculated at the PBE level.

Values from the calculation:
Its symmetry is P2_1/m, No. 11. As for the formation energy: -0.230 eV per atom. The value obtained for the density of states at the Fermi level is 2.30 states/eV/f.u. For the volume, the calculation gives 25.6 A^3/atom. For the energy, the calculation gives -1.47 eV per atom.

Lattice parameters (Å, degrees): 4.5758 7.5934 6.3005 90.00 110.98 90.00
Sites, in units of the cell vectors:
Yb 0.0675 0.2500 0.1321
Yb 0.9325 0.7500 0.8679
Mg 0.2191 0.7500 0.4410
Mg 0.7809 0.2500 0.5590
Cd 0.3768 0.0528 0.7530
Cd 0.3768 0.4472 0.7530
Cd 0.6232 0.5528 0.2470
Cd 0.6232 0.9472 0.2470

No. 10
Below is a relaxed AcLa8Er3 crystal, with properties calculated at the PBE level.

Values from the calculation:
Its symmetry is C2/m, No. 12. As for the formation energy: 0.320 eV per atom. The value obtained for the density of states at the Fermi level is 19.16 states/eV/f.u. For the volume, the calculation gives 38.6 A^3/atom. For the energy, the calculation gives -4.45 eV per atom.

Lattice parameters (Å, degrees): 8.9264 8.9264 6.8020 112.33 112.33 80.86
Sites, in units of the cell vectors:
Ac 0.0000 0.0000 0.0000
La 0.0815 0.4309 0.2558
La 0.2830 0.7159 0.2187
La 0.2841 0.7170 0.7813
La 0.4309 0.0815 0.2558
La 0.5691 0.9185 0.7442
La 0.7159 0.2830 0.2187
La 0.7170 0.2841 0.7813
La 0.9185 0.5691 0.7442
Er 0.2854 0.2854 0.7858
Er 0.5000 0.5000 0.5000
Er 0.7146 0.7146 0.2142

No. 11
Below is a relaxed Na2Mn2SbS6 crystal, with properties calculated at the PBE level.

Values from the calculation:
Its symmetry is C2/m, No. 12. The value obtained for the density of states at the Fermi level is 4.78 states/eV/f.u. For the volume, the calculation gives 21.3 A^3/atom. For the energy, the calculation gives -5.18 eV per atom.

Lattice parameters (Å, degrees): 6.2988 6.2988 7.1019 98.35 98.35 119.90
Sites, in units of the cell vectors:
Na 0.1615 0.8385 0.0000
Na 0.8385 0.1615 0.0000
Mn 0.3327 0.6673 0.5000
Mn 0.6673 0.3327 0.5000
Sb 0.0000 0.0000 0.5000
S 0.0527 0.4163 0.7031
S 0.2976 0.2976 0.2999
S 0.4163 0.0527 0.7031
S 0.5837 0.9473 0.2969
S 0.7024 0.7024 0.7001
S 0.9473 0.5837 0.2969

No. 12
Below is a relaxed HgRu5 crystal, with properties calculated at the PBE level.

Values from the calculation:
Its symmetry is F-43m, No. 216. As for the formation energy: 0.710 eV per atom. The value obtained for the density of states at the Fermi level is 10.82 states/eV/f.u. Its offset from the most stable computed form is 39.8 kJ/mol of atoms. For the volume, the calculation gives 15.8 A^3/atom. For the energy, the calculation gives -7.07 eV per atom.

Lattice parameters (Å, degrees): 5.1173 5.1173 5.1173 60.00 60.00 60.00
Sites, in units of the cell vectors:
Hg 0.0000 0.0000 0.0000
Ru 0.3754 0.3754 0.3754
Ru 0.3754 0.3754 0.8738
Ru 0.3754 0.8738 0.3754
Ru 0.7500 0.7500 0.7500
Ru 0.8738 0.3754 0.3754